# 1
DFT (GGA-PBE) results for CsNaZn2Ga after structural relaxation.

Lattice parameters (Å, degrees): 5.187 5.187 5.798 90.00 90.00 90.00
Positions (direct):
Zn1 0.500 0.000 0.000
Zn2 0.000 0.500 0.000
Ga1 0.000 0.000 0.000
Na1 0.000 0.000 0.500
Cs1 0.500 0.500 0.500

Values from the calculation:
DFT total energy, hartree per atom: -0.054
ρ, g/cm³: 3.8
Total moment, μB per formula unit: 0.00



# 2
DFT (GGA-PBE) results for CsNbGa2 after structural relaxation.

Lattice parameters (Å, degrees): 5.177 5.177 5.177 60.00 60.00 60.00
Positions (direct):
Ga1 0.250 0.250 0.250
Ga2 0.750 0.750 0.750
Cs1 0.500 0.500 0.500
Nb1 0.000 0.000 0.000

Values from the calculation:
DFT total energy, hartree per atom: -0.118
ρ, g/cm³: 6.2
Total moment, μB per formula unit: 0.00